*w*
First-principles (PBE) data for InPd2C after structural relaxation, as listed in Alexandria.

Its total moment is 0.00 μB per cell.

Cell lengths 6.2099, 6.2099, 6.2099 Å; angles 126.34, 126.34, 79.33 degrees
With the nearest neighbours (Å) after each atom.
Fractional coordinates of all 8 atoms:
In 0.0000 0.0000 0.0000  4 Pd 2.76
In 0.7500 0.2500 0.5000  4 Pd 2.76
Pd 0.2410 0.6250 0.1160  2 C 1.99
Pd 0.3750 0.4910 0.6160  2 C 1.99
Pd 0.5090 0.1250 0.8840  2 C 1.99
Pd 0.8750 0.7590 0.3840  2 C 1.99
C 0.2500 0.7500 0.5000  4 Pd 1.99
C 0.5000 0.5000 0.0000  4 Pd 1.99

*x*
First-principles (PBE) data for InPd2C after structural relaxation, as listed in Alexandria.

Its total moment is 0.00 μB per cell.

Cell lengths 5.1929, 5.1929, 4.1368 Å; angles 111.94, 111.94, 35.91 degrees
With the nearest neighbours (Å) after each atom.
Fractional coordinates of all 4 atoms:
In 0.0000 0.0000 0.0000  2 C 2.45
Pd 0.3600 0.3600 0.3660  2 C 2.14
Pd 0.6828 0.6828 0.6957  2 C 2.07-2.08
C 0.7041 0.7041 0.2167  4 Pd 2.07-2.14

*y*
First-principles (PBE) data for InPd2C after structural relaxation, as listed in Alexandria.

Its total moment is 0.00 μB per cell.

Cell lengths 3.9717, 5.7506, 5.7506 Å; angles 30.21, 90.00, 90.00 degrees
With the nearest neighbours (Å) after each atom.
Fractional coordinates of all 4 atoms:
In 0.0000 0.0000 0.0000  6 Pd 2.80-2.93, 2 In 3.00
Pd 0.0000 0.7127 0.7127  2 C 2.00
Pd 0.5000 0.3602 0.3602  2 C 2.08
C 0.5000 0.7301 0.7301  4 Pd 2.00-2.08

Name the most stable of them. *y*.